The following is a SCAN calculation of a crystal of TlC2 relaxed with PBEsol, from Alexandria.

a = 2.628 Å, b = 2.628 Å, c = 5.346 Å
α = 90.00°, β = 90.00°, γ = 90.00°
Element x y z (fractional)
1 Tl 0.000 0.000 0.000
2 C 0.000 0.500 0.500
3 C 0.500 0.000 0.500

- DFT formation energy: 2.608 eV per atom
- Energy: -28.24 eV/atom
- Space-group type: No. 123
- Excess energy over the best structure of this formula in the dataset: 497 kJ/mol of formula units



The following is a SCAN calculation of a crystal of LaY2Cl relaxed with PBEsol, from Alexandria.

a = 5.435 Å, b = 5.435 Å, c = 5.435 Å
α = 60.00°, β = 60.00°, γ = 60.00°
Element x y z (fractional)
1 Y 0.250 0.250 0.250
2 Y 0.750 0.750 0.750
3 Cl 0.000 0.000 0.000
4 La 0.500 0.500 0.500

- E_form (uncorrected): 6 kJ/mol of atoms
- Energy: -26.63 eV/atom
- Space-group type: No. 225
- Excess energy over the best structure of this formula in the dataset: 120 kJ/mol of formula units



The following is a SCAN calculation of a crystal of TcSbPb2 relaxed with PBEsol, from Alexandria.

a = 3.868 Å, b = 4.926 Å, c = 4.926 Å
α = 90.00°, β = 90.00°, γ = 90.00°
Element x y z (fractional)
1 Pb 0.000 0.000 0.500
2 Pb 0.000 0.500 0.000
3 Sb 0.500 0.500 0.500
4 Tc 0.500 0.000 0.000

- E_form (uncorrected): 71 kJ/mol of atoms
- Energy: -55.24 eV/atom
- Space-group type: No. 123



The following is a SCAN calculation of a crystal of Be2CrTe relaxed with PBEsol, from Alexandria.

a = 3.611 Å, b = 3.611 Å, c = 4.663 Å
α = 112.78°, β = 112.78°, γ = 90.00°
Element x y z (fractional)
1 Cr 0.500 0.500 0.000
2 Te 0.250 0.750 0.500
3 Be 0.000 0.000 0.000
4 Be 0.750 0.250 0.500

- E_form (uncorrected): 36 kJ/mol of atoms
- Energy: -15.71 eV/atom
- Space-group type: No. 119



The following is a SCAN calculation of a crystal of BeAl2Ni relaxed with PBEsol, from Alexandria.

a = 2.793 Å, b = 3.799 Å, c = 4.745 Å
α = 90.00°, β = 107.12°, γ = 90.00°
Element x y z (fractional)
1 Ni 0.684 0.500 0.368
2 Al 0.090 0.000 0.180
3 Al 0.410 0.500 0.819
4 Be 0.816 0.000 0.633

- DFT formation energy: -0.337 eV per atom
- Energy: -9.34 eV/atom
- Space-group type: No. 38



The following is a SCAN calculation of a crystal of BAs relaxed with PBEsol, from Alexandria.

a = 3.362 Å, b = 3.362 Å, c = 5.564 Å
α = 90.00°, β = 90.00°, γ = 120.00°
Element x y z (fractional)
1 As 0.667 0.333 0.000
2 As 0.333 0.667 0.500
3 B 0.667 0.333 0.625
4 B 0.333 0.667 0.125

- DFT formation energy: -0.113 eV per atom
- Energy: -13.92 eV/atom
- Space-group type: No. 186